1.
The following is a GGA-PBEsol calculation of a relaxed structure of CrHgSb2, from the Alexandria database.

abc: 3.315 5.235 5.235
angles: 101.54 90.00 90.00
Last column: magnetic moment on the atom in μB.
Positions (direct):
Cr (0.500, 0.000, 0.000)  3.68
Sb (0.000, 0.500, 0.000)  -0.05
Sb (0.000, 0.000, 0.500)  -0.05
Hg (0.500, 0.500, 0.500)  0.00

polymorph energy (0 for the lowest one): 98 meV/atom
D(E_F): 0.498 states/eV/atom
raw total energy: -4.5992 eV/atom
uncorrected formation energy: 0.382 eV per atom

2.
The following is a GGA-PBEsol calculation of a relaxed structure of CrHgSb2, from the Alexandria database.

abc: 3.188 4.341 7.080
angles: 107.82 103.01 90.00
Last column: magnetic moment on the atom in μB.
Positions (direct):
Cr (0.513, 0.513, 0.026)  2.86
Sb (0.988, 0.988, 0.976)  -0.08
Sb (0.186, 0.686, 0.373)  -0.06
Hg (0.813, 0.313, 0.625)  0.00

polymorph energy (0 for the lowest one): 0 meV/atom
D(E_F): 0.746 states/eV/atom
raw total energy: -4.6968 eV/atom
uncorrected formation energy: 0.284 eV per atom

3.
The following is a GGA-PBEsol calculation of a relaxed structure of CrHg2Sb, from the Alexandria database.

abc: 3.439 5.232 5.232
angles: 115.22 90.00 90.00
Last column: magnetic moment on the atom in μB.
Positions (direct):
Hg (0.000, 0.500, 0.000)  -0.03
Hg (0.000, 0.000, 0.500)  -0.03
Cr (0.500, 0.500, 0.500)  3.57
Sb (0.500, 0.000, 0.000)  -0.07

D(E_F): 0.549 states/eV/atom
raw total energy: -3.5853 eV/atom
uncorrected formation energy: 0.398 eV per atom

4.
The following is a GGA-PBEsol calculation of a relaxed structure of CrHg2Sb, from the Alexandria database.

abc: 4.136 4.132 4.897
angles: 90.00 90.00 90.00
Last column: magnetic moment on the atom in μB.
Positions (direct):
Sb (0.500, 0.000, 0.500)  -0.09
Hg (0.000, 0.000, 0.000)  -0.02
Hg (0.500, 0.500, 0.000)  -0.02
Cr (0.000, 0.500, 0.500)  3.63

D(E_F): 0.502 states/eV/atom
raw total energy: -3.6502 eV/atom
uncorrected formation energy: 0.333 eV per atom

5.
The following is a GGA-PBEsol calculation of a relaxed structure of CrHgSb, from the Alexandria database.

abc: 3.329 3.329 6.630
angles: 90.00 90.00 120.00
Last column: magnetic moment on the atom in μB.
Positions (direct):
Cr (0.000, 0.000, 0.005)  3.34
Sb (0.333, 0.667, 0.298)  -0.06
Hg (0.667, 0.333, 0.697)  0.04

polymorph energy (0 for the lowest one): 31 meV/atom
D(E_F): 0.648 states/eV/atom
raw total energy: -4.7258 eV/atom
uncorrected formation energy: 0.396 eV per atom

6.
The following is a GGA-PBEsol calculation of a relaxed structure of ScCrHg2, from the Alexandria database.

abc: 4.029 4.338 4.338
angles: 90.00 90.00 90.00
Last column: magnetic moment on the atom in μB.
Positions (direct):
Sc (0.500, 0.500, 0.500)  -0.18
Hg (0.000, 0.000, 0.500)  -0.04
Hg (0.000, 0.500, 0.000)  -0.04
Cr (0.500, 0.000, 0.000)  3.41

polymorph energy (0 for the lowest one): 0 meV/atom
E_form: 0.1 eV/f.u.
D(E_F): 0.923 states/eV/atom
raw total energy: -4.4812 eV/atom

7.
The following is a GGA-PBEsol calculation of a relaxed structure of ScCrHg2, from the Alexandria database.

abc: 3.318 4.881 5.352
angles: 102.54 90.00 109.87
Last column: magnetic moment on the atom in μB.
Positions (direct):
Hg (0.245, 0.491, 0.238)  -0.01
Hg (0.755, 0.509, 0.762)  -0.01
Cr (0.500, 0.000, 0.000)  3.40
Sc (0.000, 0.000, 0.500)  -0.08

polymorph energy (0 for the lowest one): 73 meV/atom
E_form: 0.3 eV/f.u.
D(E_F): 0.682 states/eV/atom
raw total energy: -4.4080 eV/atom

8.
The following is a GGA-PBEsol calculation of a relaxed structure of Sc3CrHg, from the Alexandria database.

abc: 5.206 5.206 5.206
angles: 90.00 90.00 90.00
Last column: magnetic moment on the atom in μB.
Positions (direct):
Hg (0.000, 0.000, 0.000)  0.06
Sc (0.000, 0.500, 0.000)  0.19
Sc (0.000, 0.000, 0.500)  0.19
Sc (0.500, 0.000, 0.000)  0.19
Cr (0.500, 0.500, 0.500)  4.03

E_form: 3.9 eV/f.u.
D(E_F): 1.402 states/eV/atom
raw total energy: -5.3439 eV/atom

9.
The following is a GGA-PBEsol calculation of a relaxed structure of CrHg2Se, from the Alexandria database.

abc: 3.839 4.853 4.853
angles: 113.14 90.00 90.00
Last column: magnetic moment on the atom in μB.
Positions (direct):
Se (0.500, 0.000, 0.000)  -0.09
Hg (0.000, 0.500, 0.000)  -0.02
Hg (0.000, 0.000, 0.500)  -0.02
Cr (0.500, 0.500, 0.500)  3.72

D(E_F): 0.453 states/eV/atom
raw total energy: -3.5111 eV/atom
uncorrected formation energy: 0.295 eV per atom

10.
The following is a GGA-PBEsol calculation of a relaxed structure of CrHg2Se, from the Alexandria database.

abc: 3.018 3.018 8.545
angles: 90.00 90.00 90.00
Last column: magnetic moment on the atom in μB.
Positions (direct):
Se (0.000, 0.000, 0.579)  -0.13
Hg (0.500, 0.500, 0.247)  0.01
Hg (0.000, 0.000, 0.953)  -0.02
Cr (0.500, 0.500, 0.720)  1.77

D(E_F): 0.503 states/eV/atom
raw total energy: -3.7620 eV/atom
uncorrected formation energy: 0.045 eV per atom

11.
The following is a GGA-PBEsol calculation of a relaxed structure of Cr2HgSe4, from the Alexandria database.

abc: 7.565 7.565 7.565
angles: 60.00 60.00 60.00
Last column: magnetic moment on the atom in μB.
Positions (direct):
Cr (0.625, 0.125, 0.625)  2.95
Cr (0.625, 0.625, 0.125)  2.95
Cr (0.125, 0.625, 0.625)  2.95
Cr (0.625, 0.625, 0.625)  2.95
Se (0.391, 0.391, 0.826)  -0.08
Se (0.859, 0.424, 0.859)  -0.08
Se (0.391, 0.391, 0.391)  -0.08
Se (0.859, 0.859, 0.424)  -0.08
Se (0.424, 0.859, 0.859)  -0.08
Se (0.391, 0.826, 0.391)  -0.08
Se (0.826, 0.391, 0.391)  -0.08
Se (0.859, 0.859, 0.859)  -0.08
Hg (0.000, 0.000, 0.000)  0.02
Hg (0.250, 0.250, 0.250)  0.02

D(E_F): 0.207 states/eV/atom
raw total energy: -5.6103 eV/atom
uncorrected formation energy: -0.403 eV per atom

12.
The following is a GGA-PBEsol calculation of a relaxed structure of CrHg2Se, from the Alexandria database.

abc: 3.161 3.161 8.014
angles: 90.00 90.00 90.00
Last column: magnetic moment on the atom in μB.
Positions (direct):
Cr (0.500, 0.500, 0.500)  3.74
Hg (0.000, 0.000, 0.727)  0.02
Hg (0.000, 0.000, 0.273)  0.02
Se (0.500, 0.500, 0.000)  0.02

D(E_F): 0.439 states/eV/atom
raw total energy: -3.4196 eV/atom
uncorrected formation energy: 0.387 eV per atom

13.
The following is a GGA-PBEsol calculation of a relaxed structure of Tl2CrHgSe, from the Alexandria database.

abc: 5.222 5.591 5.591
angles: 90.00 90.00 90.00
Last column: magnetic moment on the atom in μB.
Positions (direct):
Hg (0.000, 0.000, 0.000)  -0.01
Tl (0.000, 0.000, 0.500)  0.01
Tl (0.000, 0.500, 0.000)  0.01
Se (0.500, 0.000, 0.000)  0.00
Cr (0.500, 0.500, 0.500)  4.31

D(E_F): 0.557 states/eV/atom
raw total energy: -3.1371 eV/atom
uncorrected formation energy: 0.847 eV per atom

14.
The following is a GGA-PBEsol calculation of a relaxed structure of Cr3SiHg, from the Alexandria database.

abc: 4.964 4.964 4.964
angles: 90.00 90.00 90.00
Last column: magnetic moment on the atom in μB.
Positions (direct):
Cr (0.000, 0.500, 0.000)  3.82
Cr (0.500, 0.000, 0.000)  3.82
Cr (0.000, 0.000, 0.500)  3.82
Hg (0.000, 0.000, 0.000)  0.18
Si (0.500, 0.500, 0.500)  -0.12

D(E_F): 1.387 states/eV/atom
raw total energy: -5.4989 eV/atom
uncorrected formation energy: 1.909 eV per atom

15.
The following is a GGA-PBEsol calculation of a relaxed structure of CrSiHg2, from the Alexandria database.

abc: 2.785 3.893 6.853
angles: 102.28 101.72 90.00
Last column: magnetic moment on the atom in μB.
Positions (direct):
Cr (0.000, 0.500, 0.000)  1.39
Si (0.500, 0.000, 0.000)  -0.07
Hg (0.680, 0.693, 0.360)  -0.01
Hg (0.320, 0.307, 0.640)  -0.01

D(E_F): 0.585 states/eV/atom
raw total energy: -4.0852 eV/atom
uncorrected formation energy: 0.195 eV per atom

16.
The following is a GGA-PBEsol calculation of a relaxed structure of CrSiHg4, from the Alexandria database.

abc: 5.673 5.673 5.673
angles: 60.00 60.00 60.00
Last column: magnetic moment on the atom in μB.
Positions (direct):
Hg (0.375, 0.875, 0.375)  -0.02
Hg (0.875, 0.375, 0.375)  -0.02
Hg (0.375, 0.375, 0.875)  -0.02
Hg (0.375, 0.375, 0.375)  -0.02
Cr (0.000, 0.000, 0.000)  3.94
Si (0.750, 0.750, 0.750)  -0.05

D(E_F): 0.348 states/eV/atom
raw total energy: -2.3968 eV/atom
uncorrected formation energy: 0.646 eV per atom

17.
The following is a GGA-PBEsol calculation of a relaxed structure of Cr3SnHg, from the Alexandria database.

abc: 5.001 5.001 5.001
angles: 90.00 90.00 90.00
Last column: magnetic moment on the atom in μB.
Positions (direct):
Sn (0.500, 0.500, 0.500)  -0.12
Cr (0.000, 0.000, 0.500)  3.83
Cr (0.000, 0.500, 0.000)  3.83
Cr (0.500, 0.000, 0.000)  3.83
Hg (0.000, 0.000, 0.000)  0.17

E_form: 7.7 eV/f.u.
D(E_F): 1.376 states/eV/atom
raw total energy: -5.5682 eV/atom

18.
The following is a GGA-PBEsol calculation of a relaxed structure of TaCr2SnHg, from the Alexandria database.

abc: 4.657 4.657 5.311
angles: 90.00 90.00 90.00
Last column: magnetic moment on the atom in μB.
Positions (direct):
Sn (0.500, 0.500, 0.500)  -0.01
Cr (0.000, 0.500, 0.000)  2.71
Cr (0.500, 0.000, 0.000)  2.71
Ta (0.000, 0.000, 0.000)  -0.53
Hg (0.000, 0.000, 0.500)  -0.04

E_form: 7.0 eV/f.u.
D(E_F): 0.926 states/eV/atom
raw total energy: -6.1655 eV/atom

19.
The following is a GGA-PBEsol calculation of a relaxed structure of SrCrHg2, from the Alexandria database.

abc: 5.070 5.070 5.070
angles: 60.00 60.00 60.00
Last column: magnetic moment on the atom in μB.
Positions (direct):
Cr (0.500, 0.500, 0.500)  3.95
Sr (0.250, 0.250, 0.250)  0.03
Hg (0.750, 0.750, 0.750)  -0.04
Hg (0.000, 0.000, 0.000)  -0.03

E_form: 0.7 eV/f.u.
D(E_F): 0.433 states/eV/atom
raw total energy: -3.1322 eV/atom

20.
The following is a GGA-PBEsol calculation of a relaxed structure of SrCrHg2, from the Alexandria database.

abc: 3.750 3.750 7.004
angles: 90.00 90.00 90.00
Last column: magnetic moment on the atom in μB.
Positions (direct):
Cr (0.500, 0.500, 0.823)  3.80
Hg (0.500, 0.500, 0.222)  0.00
Hg (0.000, 0.000, 0.963)  0.01
Sr (0.000, 0.000, 0.492)  0.02

E_form: 0.6 eV/f.u.
D(E_F): 0.406 states/eV/atom
raw total energy: -3.1597 eV/atom